No. 1
Crystalline Ni5I12Cl3 at its relaxed geometry, computed with PBE.

Results
Size of the total moment in μB/atom: 0.164
Mass density in g cm⁻³: 5.13
Density of states at the Fermi level in states/eV/cell: 120.84
E_form (uncorrected) in meV per atom: 114.3
Space group: Ia-3d (230)
Raw total energy in eV per atom: -2.54

a b c (Å): 14.788 14.788 14.788
angles (deg): 109.47 109.47 109.47
Last column: magnetic moment on the atom in μB.
Positions (direct):
1 Cl 0.750 0.375 0.125  0.13
2 Cl 0.875 0.750 0.125  0.13
3 Cl 0.375 0.750 0.625  0.13
4 Cl 0.250 0.125 0.375  0.13
5 Cl 0.875 0.125 0.250  0.13
6 Cl 0.375 0.625 0.250  0.13
7 Cl 0.625 0.375 0.750  0.13
8 Cl 0.125 0.875 0.750  0.13
9 Cl 0.750 0.875 0.625  0.13
10 Cl 0.625 0.250 0.375  0.13
11 Cl 0.125 0.250 0.875  0.13
12 Cl 0.250 0.625 0.875  0.13
13 Ni 0.125 0.375 0.250  0.59
14 Ni 0.000 0.500 0.000  -0.30
15 Ni 0.000 0.000 0.000  -0.30
16 Ni 0.375 0.250 0.125  0.59
17 Ni 0.500 0.000 0.500  -0.30
18 Ni 0.500 0.500 0.000  -0.30
19 Ni 0.125 0.750 0.375  0.59
20 Ni 0.750 0.125 0.875  0.59
21 Ni 0.750 0.625 0.375  0.59
22 Ni 0.375 0.125 0.750  0.59
23 Ni 0.625 0.875 0.250  0.59
24 Ni 0.500 0.500 0.500  -0.30
25 Ni 0.500 0.000 0.000  -0.30
26 Ni 0.000 0.000 0.500  -0.30
27 Ni 0.250 0.375 0.625  0.59
28 Ni 0.250 0.875 0.125  0.59
29 Ni 0.000 0.500 0.500  -0.30
30 Ni 0.875 0.250 0.625  0.59
31 Ni 0.625 0.750 0.875  0.59
32 Ni 0.875 0.625 0.750  0.59
33 I 0.694 0.105 0.011  0.09
34 I 0.317 0.511 0.407  0.09
35 I 0.989 0.395 0.306  0.09
36 I 0.511 0.194 0.105  0.09
37 I 0.590 0.694 0.683  0.09
38 I 0.989 0.593 0.183  0.09
39 I 0.317 0.806 0.410  0.09
40 I 0.093 0.910 0.105  0.09
41 I 0.593 0.989 0.683  0.09
42 I 0.694 0.590 0.183  0.09
43 I 0.806 0.489 0.395  0.09
44 I 0.817 0.907 0.011  0.09
45 I 0.105 0.694 0.511  0.09
46 I 0.395 0.407 0.090  0.09
47 I 0.090 0.907 0.395  0.09
48 I 0.410 0.105 0.593  0.09
49 I 0.090 0.183 0.194  0.09
50 I 0.489 0.683 0.093  0.09
51 I 0.817 0.910 0.306  0.09
52 I 0.105 0.410 0.093  0.09
53 I 0.395 0.989 0.806  0.09
54 I 0.593 0.605 0.410  0.09
55 I 0.907 0.817 0.511  0.09
56 I 0.806 0.317 0.910  0.09
57 I 0.407 0.395 0.590  0.09
58 I 0.093 0.183 0.489  0.09
59 I 0.194 0.683 0.090  0.09
60 I 0.183 0.090 0.694  0.09
61 I 0.605 0.011 0.194  0.09
62 I 0.895 0.590 0.907  0.09
63 I 0.511 0.317 0.907  0.09
64 I 0.590 0.895 0.407  0.09
65 I 0.910 0.817 0.806  0.09
66 I 0.910 0.093 0.605  0.09
67 I 0.895 0.306 0.489  0.09
68 I 0.183 0.093 0.989  0.09
69 I 0.605 0.593 0.910  0.09
70 I 0.407 0.011 0.317  0.09
71 I 0.306 0.410 0.817  0.09
72 I 0.194 0.511 0.605  0.09
73 I 0.907 0.090 0.895  0.09
74 I 0.683 0.194 0.590  0.09
75 I 0.489 0.806 0.895  0.09
76 I 0.011 0.407 0.817  0.09
77 I 0.410 0.306 0.317  0.09
78 I 0.011 0.605 0.694  0.09
79 I 0.683 0.489 0.593  0.09
80 I 0.306 0.895 0.989  0.09

No. 2
Crystalline LiSiSe2N at its relaxed geometry, computed with PBE.

Results
Size of the total moment in μB/atom: 0.000
Mass density in g cm⁻³: 4.25
Density of states at the Fermi level in states/eV/cell: 3.68
E_form (uncorrected) in meV per atom: 985.2
Space group: P4/mmm (123)
Raw total energy in eV per atom: -3.54
Energy above the most stable polymorph in this dataset in meV/atom: 1091.0

a b c (Å): 4.771 4.771 3.550
angles (deg): 90.00 90.00 90.00
Positions (direct):
1 Si 0.500 0.500 0.500
2 Li 0.000 0.000 0.000
3 Se 0.000 0.500 0.000
4 Se 0.500 0.000 0.000
5 N 0.000 0.000 0.500

No. 3
Crystalline Nd2ThSn3Rh4 at its relaxed geometry, computed with PBE.

Results
Size of the total moment in μB/atom: 0.000
Mass density in g cm⁻³: 9.25
Density of states at the Fermi level in states/eV/cell: 6.71
Space group: P-4m2 (115)
Raw total energy in eV per atom: -6.58
E_form in meV/atom: -739

a b c (Å): 4.543 4.543 11.199
angles (deg): 90.00 90.00 90.00
Positions (direct):
1 Nd 0.500 0.000 0.220
2 Nd 0.000 0.500 0.780
3 Th 0.500 0.500 0.500
4 Sn 0.000 0.000 0.500
5 Sn 0.500 0.000 0.875
6 Sn 0.000 0.500 0.125
7 Rh 0.500 0.500 0.000
8 Rh 0.000 0.000 0.000
9 Rh 0.500 0.000 0.643
10 Rh 0.000 0.500 0.357

No. 4
Crystalline LiCo2Re at its relaxed geometry, computed with PBE.

Results
Size of the total moment in μB/atom: 0.239
Mass density in g cm⁻³: 10.67
Density of states at the Fermi level in states/eV/cell: 4.55
Space group: Cm (8)
Raw total energy in eV per atom: -6.98
E_form in meV/atom: 160
Energy above the most stable polymorph in this dataset in meV/atom: 11.6

a b c (Å): 4.609 4.609 4.395
angles (deg): 76.87 76.87 32.25
Last column: magnetic moment on the atom in μB.
Positions (direct):
1 Co 0.017 0.017 0.036  0.43
2 Co 0.728 0.728 0.712  0.57
3 Li 0.486 0.486 0.552  -0.01
4 Re 0.269 0.269 0.200  -0.01

No. 5
Crystalline TiCr at its relaxed geometry, computed with PBE.

Results
Size of the total moment in μB/atom: 0.000
Mass density in g cm⁻³: 5.55
Density of states at the Fermi level in states/eV/cell: 42.65
Space group: Fddd (70)
Raw total energy in eV per atom: -8.27
E_form in meV/atom: 492

a b c (Å): 9.249 7.733 6.683
angles (deg): 90.00 90.00 90.00
Positions (direct):
1 Ti 0.000 0.187 0.000
2 Ti 0.000 0.813 0.000
3 Ti 0.250 0.563 0.250
4 Ti 0.250 0.937 0.250
5 Ti 0.000 0.687 0.500
6 Ti 0.000 0.313 0.500
7 Ti 0.250 0.063 0.750
8 Ti 0.250 0.437 0.750
9 Ti 0.500 0.187 0.500
10 Ti 0.500 0.813 0.500
11 Ti 0.750 0.563 0.750
12 Ti 0.750 0.937 0.750
13 Ti 0.500 0.687 0.000
14 Ti 0.500 0.313 0.000
15 Ti 0.750 0.063 0.250
16 Ti 0.750 0.437 0.250
17 Cr 0.000 0.000 0.338
18 Cr 0.000 0.000 0.662
19 Cr 0.250 0.750 0.912
20 Cr 0.250 0.750 0.588
21 Cr 0.000 0.500 0.838
22 Cr 0.000 0.500 0.162
23 Cr 0.250 0.250 0.412
24 Cr 0.250 0.250 0.088
25 Cr 0.500 0.000 0.838
26 Cr 0.500 0.000 0.162
27 Cr 0.750 0.750 0.412
28 Cr 0.750 0.750 0.088
29 Cr 0.500 0.500 0.338
30 Cr 0.500 0.500 0.662
31 Cr 0.750 0.250 0.912
32 Cr 0.750 0.250 0.588

No. 6
Crystalline ZrOF2 at its relaxed geometry, computed with PBE.

Results
Size of the total moment in μB/atom: 0.000
Mass density in g cm⁻³: 4.16
Density of states at the Fermi level in states/eV/cell: 0.00
E_form (uncorrected) in meV per atom: -3356.9
Space group: Cm (8)
Raw total energy in eV per atom: -7.67

a b c (Å): 3.097 3.899 5.635
angles (deg): 97.01 105.95 113.40
Positions (direct):
1 Zr 0.264 0.653 0.500
2 O 0.562 0.249 0.500
3 F 0.645 0.689 0.226
4 F 0.029 0.908 0.774

What is the density of states at the Fermi level in the third record?
6.71 states/eV/cell

Among the records above, which one has the lowest mass density?
ZrOF2

mass density of number 6 (ZrOF2)?
4.16 g cm⁻³